Hf2GaP | PBE-GGA | optimized geometry

Computed properties:
Volume (Å³/cell): 417.46
Distance to the lowest polymorph of the same formula (meV/atom): 952
E_form (eV/atom): 0.16

Cell: 5.6971 5.6971 12.8617 Å, 90.00 90.00 90.00°
Space group I-42d (No. 122)
Inequivalent atoms, fractional coordinates:
Hf: 0.2341 0.2500 0.1250 x8
Ga: 0.0000 0.0000 0.5000 x4
P: 0.0000 0.0000 0.0000 x4

=====

Ca3Pm3MnSe8 | PBE-GGA | optimized geometry

Computed properties:
ΔE_f (raw) (meV per atom): -1705.6
Volume (Å³/cell): 1233.89

Cell: 8.3091 8.3091 20.6368 Å, 90.00 90.00 120.00°
Space group R-3m (No. 166, hexagonal axes)
Inequivalent atoms, fractional coordinates:
Ca: 0.0000 0.5000 0.0000 x9
Pm: 0.0000 0.5000 0.5000 x9
Mn: 0.0000 0.0000 0.5000 x3
Se: 0.0000 0.0000 0.2507 x6
Se: 0.0153 0.5076 0.2455 x18

=====

InTe3Br | PBE-GGA | optimized geometry

Computed properties:
ΔE_f (raw) (meV per atom): 520.7
Volume (Å³/cell): 183.41
Distance to the lowest polymorph of the same formula (meV/atom): 45

Cell: 5.6817 5.6817 5.6817 Å, 90.00 90.00 90.00°
Space group Pm-3m (No. 221)
Inequivalent atoms, fractional coordinates:
In: 0.0000 0.0000 0.0000 x1
Te: 0.0000 0.5000 0.5000 x3
Br: 0.5000 0.5000 0.5000 x1

=====

Ce2Zn6Ag | PBE-GGA | optimized geometry

Computed properties:
Volume (Å³/cell): 171.62
E_form (eV/atom): -0.16

Cell: 8.1341 8.1341 2.9950 Å, 90.00 90.00 120.00°
Space group P6/mmm (No. 191)
Inequivalent atoms, fractional coordinates:
Ce: 0.3333 0.6667 0.0000 x2
Zn: 0.0000 0.3149 0.5000 x6
Ag: 0.0000 0.0000 0.0000 x1

=====

Number 1: total magnetization 0.00 Bohr magnetons per cell. Number 2: total magnetization 14.49 Bohr magnetons per cell. Number 3: total magnetization 0.00 Bohr magnetons per cell. Number 4: total magnetization 1.72 Bohr magnetons per cell.